# GGA-PBE Sr2HgPb, relaxed
data_Sr2HgPb
_chemical_formula_sum 'Sr8 Hg4 Pb4'
_cell_length_a 7.8692
_cell_length_b 8.0664
_cell_length_c 8.2273
_cell_angle_alpha 90.00
_cell_angle_beta 90.00
_cell_angle_gamma 90.00
_space_group_name_H-M_alt 'P 1'
_space_group_IT_number 1
_space_group_name_Hall 'P 1'
loop_
_atom_site_label
_atom_site_type_symbol
_atom_site_fract_x
_atom_site_fract_y
_atom_site_fract_z
Hg1 Hg 0.2548 0.7500 0.0002
Hg2 Hg 0.7452 0.2500 0.9998
Hg3 Hg 0.2452 0.7500 0.5002
Hg4 Hg 0.7548 0.2500 0.4998
Sr1 Sr 0.0000 0.0000 0.7534
Sr2 Sr 0.5001 0.0000 0.7466
Sr3 Sr 0.4999 0.0000 0.2534
Sr4 Sr 0.0000 0.0000 0.2466
Sr5 Sr 0.0000 0.5000 0.2466
Sr6 Sr 0.4999 0.5000 0.2534
Sr7 Sr 0.0000 0.5000 0.7534
Sr8 Sr 0.5001 0.5000 0.7466
Pb1 Pb 0.2558 0.2500 0.0000
Pb2 Pb 0.7558 0.7500 0.5000
Pb3 Pb 0.7442 0.7500 0.0000
Pb4 Pb 0.2442 0.2500 0.5000
# - Space group: Imma (74)
# - Total DFT energy (no corrections): -2.40 eV per atom